Crystalline CaHoTm2Bi4 at its relaxed geometry, computed with PBE.

```
CaHoTm2Bi4
1.0
-0.4375 3.4790 -2.7359
-4.5078 -4.2646 -4.7020
-4.4889 3.5790 5.2688
Tm Ho Bi Ca
2 1 4 1
Direct
0.5000 0.0000 0.5000
0.0000 0.5000 0.5000
0.0000 0.0000 0.0000
0.0000 0.2430 0.7415
0.0000 0.7570 0.2585
0.5000 0.2482 0.2547
0.5000 0.7518 0.7453
0.5000 0.5000 0.0000
```

Values from the calculation:
Total DFT energy (no corrections) = -4.65 eV/atom
Magnetization = 0.000 μB/cell
Formation energy = -0.765 eV/atom
Density of states at the Fermi level = 0.360 states/eV per atom